Computed, not measured: a geometry-optimized Tb5Pm4Y2 structure at the PBE level of DFT.

- symmetry = No. 12
- DFT total energy (eV per atom) = -4.892
- formation energy from the elements (eV/atom) = 0.12
- E above lowest polymorph (kJ/mol of formula units) = 0

Cell: 7.4631 6.6967 10.0939 Å, 62.57 68.30 56.14°
Closest atoms and distances in Å follow each position.
Element x y z (fractional)
Tb1 0.2081 0.3696 0.7748  2 Tb 3.21-3.28, 4 Pm 3.46-3.57, 2 Y 3.47-3.48
Tb2 0.7919 0.6304 0.2252  2 Tb 3.21-3.28, 4 Pm 3.46-3.57, 2 Y 3.47-3.48
Tb3 0.0000 0.5000 0.5000  4 Tb 3.21, 2 Pm 3.45
Tb4 0.6476 0.3696 0.7748  2 Tb 3.21-3.28, 4 Pm 3.46-3.57, 2 Y 3.47-3.48
Tb5 0.3524 0.6304 0.2252  2 Tb 3.21-3.28, 4 Pm 3.46-3.57, 2 Y 3.47-3.48
Pm1 0.3109 0.8822 0.4959  1 Pm 3.42, 5 Tb 3.45-3.67, 1 Y 3.49
Pm2 0.6891 0.1178 0.5041  1 Pm 3.42, 5 Tb 3.45-3.67, 1 Y 3.49
Pm3 0.6688 0.7809 0.8816  2 Pm 3.42-3.80, 6 Tb 3.46-3.50, 3 Y 3.47-3.75
Pm4 0.3312 0.2191 0.1184  2 Pm 3.42-3.80, 6 Tb 3.46-3.50, 3 Y 3.47-3.75
Y1 0.1409 0.8428 0.8753  1 Y 3.35, 4 Pm 3.47-3.75, 6 Tb 3.47-3.74
Y2 0.8591 0.1572 0.1247  1 Y 3.35, 4 Pm 3.47-3.75, 6 Tb 3.47-3.74

Computed, not measured: a geometry-optimized Ho4AlPt structure at the PBE level of DFT.

- symmetry = No. 15
- DFT total energy (eV per atom) = -5.203
- formation energy from the elements (eV/atom) = -0.52
- E above lowest polymorph (kJ/mol of formula units) = 72

Cell: 5.7936 8.4156 8.0454 Å, 115.07 102.47 105.99°
Closest atoms and distances in Å follow each position.
Element x y z (fractional)
Ho1 0.0476 0.2196 0.8553  2 Pt 2.93-2.95, 2 Al 3.17-3.20
Ho2 0.7760 0.7012 0.6403  2 Pt 2.97-2.99, 2 Al 3.15-3.18
Ho3 0.3078 0.6357 0.8553  2 Pt 2.93-2.95, 2 Al 3.17-3.20
Ho4 0.3643 0.9390 0.6403  2 Pt 2.97-2.99, 2 Al 3.15-3.18
Ho5 0.6357 0.0610 0.3597  2 Pt 2.97-2.99, 2 Al 3.15-3.18
Ho6 0.6922 0.3643 0.1447  2 Pt 2.93-2.95, 2 Al 3.17-3.20
Ho7 0.2240 0.2988 0.3597  2 Pt 2.97-2.99, 2 Al 3.15-3.18
Ho8 0.9524 0.7804 0.1447  2 Pt 2.93-2.95, 2 Al 3.17-3.20
Al1 0.3761 0.6261 0.2523  8 Ho 3.15-3.20
Al2 0.6239 0.3739 0.7477  8 Ho 3.15-3.20
Pt1 0.2498 0.9998 0.9997  2 Pt 2.90, 8 Ho 2.93-2.99
Pt2 0.7502 0.0002 0.0003  2 Pt 2.90, 8 Ho 2.93-2.99

Computed, not measured: a geometry-optimized SmDyTe2 structure at the PBE level of DFT.

- formation energy (no corrections) (eV/f.u.) = -5.4
- symmetry = No. 160
- DFT total energy (eV per atom) = -5.260
- E above lowest polymorph (kJ/mol of formula units) = 0

Cell: 4.2647 4.2647 8.0556 Å, 74.65 74.65 60.00°
Closest atoms and distances in Å follow each position.
Element x y z (fractional)
Sm1 0.4963 0.4963 0.5111  6 Te 3.11-3.22
Dy1 0.6705 0.6705 0.9885  6 Te 3.03-3.13
Te1 0.0803 0.0803 0.7591  3 Dy 3.03, 3 Sm 3.11
Te2 0.2529 0.2529 0.2412  3 Dy 3.13, 3 Sm 3.22